# V2PdO6

V2PdO6 after structural relaxation (GGA+U, the Alexandria database).

Results
Calculated total energy = -7.00 eV per atom

Unit cell a=6.700 b=6.700 c=6.058 alpha=93.42 beta=93.42 gamma=79.71
Positions (direct):
1 V 0.105 0.295 0.235
2 V 0.295 0.105 0.735
3 V 0.705 0.895 0.265
4 V 0.895 0.705 0.765
5 Pd 0.437 0.563 0.750
6 Pd 0.563 0.437 0.250
7 O 0.137 0.576 0.758
8 O 0.140 0.154 0.973
9 O 0.154 0.140 0.473
10 O 0.259 0.473 0.257
11 O 0.424 0.863 0.742
12 O 0.473 0.259 0.757
13 O 0.527 0.741 0.243
14 O 0.576 0.137 0.258
15 O 0.741 0.527 0.743
16 O 0.846 0.860 0.527
17 O 0.860 0.846 0.027
18 O 0.863 0.424 0.242